Entry 1:
IrOs: relaxed, PBEsol. Values from VASP.

Quantum ESPRESSO input file:
```
&SYSTEM
  ibrav = 0, nat = 4, ntyp = 2
/
ATOMIC_SPECIES
Ir 192.22 Ir.upf
Os 190.23 Os.upf
ATOMIC_POSITIONS angstrom
Ir 0.557 0.000 1.218
Ir 7.066 0.000 2.955
Os 3.213 0.000 0.866
Os 4.410 0.000 3.307
CELL_PARAMETERS angstrom
4.925 -1.362 0.000
4.925 1.362 0.000
-2.226 0.000 4.173
```

The calculation puts the density of states at the Fermi level at 3.13 states/eV/cell. For the formation enthalpy at 0 K, the calculation gives 0.029 eV/atom. The calculation puts the total DFT energy (no corrections) at -43.96 eV for the cell shown. As for the space group: C2/m, No. 12.

---

Entry 2:
IrOs2: relaxed, PBEsol. Values from VASP.

Quantum ESPRESSO input file:
```
&SYSTEM
  ibrav = 0, nat = 12, ntyp = 2
/
ATOMIC_SPECIES
Ir 192.22 Ir.upf
Os 190.23 Os.upf
ATOMIC_POSITIONS angstrom
Ir 1.914 0.957 0.974
Ir 1.914 0.957 4.756
Ir 0.000 0.957 6.703
Ir 0.000 0.957 10.485
Os 1.914 -0.957 6.688
Os 1.914 0.957 -2.843
Os 1.914 -0.957 10.501
Os 0.000 0.957 2.887
Os 1.914 0.957 8.573
Os 0.000 2.871 0.958
Os 0.000 0.957 14.302
Os 0.000 2.871 4.772
CELL_PARAMETERS angstrom
-1.914 1.914 11.459
1.914 -1.914 11.459
1.914 1.914 -11.459
```

For the energy above the most stable polymorph in this dataset, the calculation gives 71 meV per atom. The calculation puts the density of states at the Fermi level at 8.96 states/eV/cell. For the formation enthalpy at 0 K, the calculation gives 0.064 eV/atom. The calculation puts the total DFT energy (no corrections) at -136.26 eV for the cell shown. As for the space group: I4_1/amd, No. 141.

---

Entry 3:
IrOs: relaxed, PBEsol. Values from VASP.

Quantum ESPRESSO input file:
```
&SYSTEM
  ibrav = 0, nat = 2, ntyp = 2
/
ATOMIC_SPECIES
Ir 192.22 Ir.upf
Os 190.23 Os.upf
ATOMIC_POSITIONS angstrom
Ir 0.000 0.000 0.000
Os 1.536 1.536 1.536
CELL_PARAMETERS angstrom
3.072 0.000 0.000
0.000 3.072 0.000
0.000 0.000 3.072
```

The calculation puts the density of states at the Fermi level at 3.66 states/eV/cell. For the formation enthalpy at 0 K, the calculation gives 0.835 eV/atom. The calculation puts the total DFT energy (no corrections) at -20.37 eV for the cell shown. As for the space group: Pm-3m, No. 221.